VASP calculation (PBE with a Hubbard U) on a geometry-optimized ErTl2V3F12 structure.

As for the electronic total energy: -5.857 eV/atom. For the magnetic moment, the calculation gives 8.0 μB/cell. For the density of states at the Fermi level, the calculation gives 0.28 states/eV per atom. As for the space-group type: R-3m, No. 166.

a = 7.8474 Å, b = 7.8474 Å, c = 7.8474 Å
α = 57.83°, β = 57.83°, γ = 57.83°
With the nearest neighbours (Å) after each atom.
Atoms (fractional coordinates):
F 0.6800 0.0799 0.6800  2 V 2.05
Er 0.0000 0.0000 0.0000  6 F 2.15
Tl 0.4029 0.4029 0.4029  3 F 3.03
V 0.5000 0.0000 0.0000  6 F 2.05-2.08
F 0.0799 0.6800 0.6800  2 V 2.05
Tl 0.5971 0.5971 0.5971  3 F 3.03
F 0.6800 0.6800 0.0799  2 V 2.05
F 0.9201 0.3200 0.3200  2 V 2.05
F 0.3200 0.9201 0.3200  2 V 2.05
F 0.0724 0.0724 0.6676  1 V 2.08, 1 Er 2.15
F 0.3324 0.9276 0.9276  1 V 2.08, 1 Er 2.15
V 0.0000 0.5000 0.0000  6 F 2.05-2.08
V 0.0000 0.0000 0.5000  6 F 2.05-2.08
F 0.9276 0.9276 0.3324  1 V 2.08, 1 Er 2.15
F 0.6676 0.0724 0.0724  1 V 2.08, 1 Er 2.15
F 0.3200 0.3200 0.9201  2 V 2.05
F 0.0724 0.6676 0.0724  1 V 2.08, 1 Er 2.15
F 0.9276 0.3324 0.9276  1 V 2.08, 1 Er 2.15